No. 1
A geometry-optimized NdY4Ho4 structure, computed with PBE.

Cell and atoms, written as CIF:
```
data_NdY4Ho4
_chemical_formula_sum 'Nd2 Y8 Ho8'
_symmetry_space_group_name_H-M 'P -1'
_symmetry_Int_Tables_number 2
_symmetry_space_group_name_Hall '-P 1'
_cell_length_a 6.7703
_cell_length_b 8.6853
_cell_length_c 10.6624
_cell_angle_alpha 78.14
_cell_angle_beta 74.85
_cell_angle_gamma 76.16
loop_
_atom_site_label
_atom_site_type_symbol
_atom_site_fract_x
_atom_site_fract_y
_atom_site_fract_z
_atom_site_occupancy
Nd1 Nd 0.2407 0.4651 0.2159 1
Y1 Y 0.0770 0.1711 0.7912 1
Y2 Y 0.0812 0.1618 0.1251 1
Y3 Y 0.2440 0.4813 0.5445 1
Y4 Y 0.2522 0.4775 0.8797 1
Ho1 Ho 0.0871 0.1606 0.4607 1
Ho2 Ho 0.3840 0.8361 0.6287 1
Ho3 Ho 0.3900 0.8404 0.9606 1
Ho4 Ho 0.3916 0.8378 0.2974 1
```

* E above lowest polymorph: 17.3 meV per atom

No. 2
A geometry-optimized PmSiW structure, computed with PBE.

Cell and atoms, written as CIF:
```
data_PmSiW
_chemical_formula_sum 'Pm9 Si9 W9'
_symmetry_space_group_name_H-M 'R 3 2'
_symmetry_Int_Tables_number 155
_symmetry_space_group_name_Hall 'R 3 2"'
_cell_length_a 7.8411
_cell_length_b 7.8411
_cell_length_c 12.8040
_cell_angle_alpha 90.00
_cell_angle_beta 90.00
_cell_angle_gamma 120.00
loop_
_atom_site_label
_atom_site_type_symbol
_atom_site_fract_x
_atom_site_fract_y
_atom_site_fract_z
_atom_site_occupancy
Pm1 Pm 0.0000 0.3844 0.0000 1
Si1 Si 0.0000 0.6113 0.5000 1
W1 W 0.0000 0.0000 0.0000 1
W2 W 0.0000 0.0000 0.1892 1
```

* formation energy (no corrections): 0.2999 eV/atom

No. 3
A geometry-optimized PrTl3Hg structure, computed with PBE.

Cell and atoms, written as CIF:
```
data_PrTl3Hg
_chemical_formula_sum 'Pr2 Tl6 Hg2'
_symmetry_space_group_name_H-M 'P -1'
_symmetry_Int_Tables_number 2
_symmetry_space_group_name_Hall '-P 1'
_cell_length_a 6.5293
_cell_length_b 6.6060
_cell_length_c 8.2736
_cell_angle_alpha 77.78
_cell_angle_beta 71.33
_cell_angle_gamma 61.22
loop_
_atom_site_label
_atom_site_type_symbol
_atom_site_fract_x
_atom_site_fract_y
_atom_site_fract_z
_atom_site_occupancy
Pr1 Pr 0.1222 0.2167 0.3745 1
Tl1 Tl 0.0000 0.5000 0.0000 1
Tl2 Tl 0.2869 0.8123 0.7878 1
Tl3 Tl 0.4049 0.3017 0.6154 1
Tl4 Tl 0.5000 0.0000 0.0000 1
Hg1 Hg 0.1964 0.6998 0.2346 1
```

* E_tot: -26.05 eV for the cell shown

No. 4
A geometry-optimized TlNiTe structure, computed with PBE.

Cell and atoms, written as CIF:
```
data_TlNiTe
_chemical_formula_sum 'Tl2 Ni2 Te2'
_symmetry_space_group_name_H-M 'P 4/n m m'
_symmetry_Int_Tables_number 129
_cell_length_a 4.0824
_cell_length_b 4.0824
_cell_length_c 8.8949
_cell_angle_alpha 90.00
_cell_angle_beta 90.00
_cell_angle_gamma 90.00
loop_
_symmetry_equiv_pos_as_xyz
'x,y,z'
'-x,-y,-z'
'-y+1/2,x,z'
'y+1/2,-x,-z'
'-x+1/2,-y+1/2,z'
'x+1/2,y+1/2,-z'
'y,-x+1/2,z'
'-y,x+1/2,-z'
'x+1/2,-y,-z'
'-x+1/2,y,z'
'-y,-x,-z'
'y,x,z'
'-x,y+1/2,-z'
'x,-y+1/2,z'
'y+1/2,x+1/2,-z'
'-y+1/2,-x+1/2,z'
loop_
_atom_site_label
_atom_site_type_symbol
_atom_site_fract_x
_atom_site_fract_y
_atom_site_fract_z
_atom_site_occupancy
Tl1 Tl 0.2500 0.2500 0.1288 1
Ni1 Ni 0.2500 0.7500 0.5000 1
Te1 Te 0.2500 0.2500 0.6725 1
```

* formation energy (no corrections): -0.1203 eV/atom

| no. | size of the total moment (μB per formula unit) |
| --- | --- |
| 1 | 0.00 |
| 2 | 0.00 |
| 3 | 0.00 |
| 4 | 0.00 |